This record from Alexandria via LeMat-Bulk describes crystalline Cs3NaZn2F8 at its relaxed geometry. The functional is PBE.

a b c (Å): 6.333 6.333 8.266
angles (deg): 90.00 90.00 120.00
Element x y z (fractional)
Cs1 0.333 0.667 0.656
Cs2 0.667 0.333 0.344
Cs3 0.000 0.000 0.000
Na1 0.000 0.000 0.500
Zn1 0.333 0.667 0.227
Zn2 0.667 0.333 0.773
F1 0.333 0.667 0.998
F2 0.667 0.333 0.002
F3 0.171 0.829 0.324
F4 0.829 0.171 0.676
F5 0.171 0.342 0.324
F6 0.829 0.658 0.676
F7 0.658 0.829 0.324
F8 0.342 0.171 0.676

Energy relative to the elements, uncorrected, eV/atom: -2.59
Space-group type: No. 164
Crystal system: trigonal
Uncorrected energy, eV/atom: -4.114
N(E_F), states/eV/f.u.: 0.0

---

This record from Alexandria via LeMat-Bulk describes crystalline LiUPa2Se5 at its relaxed geometry. The functional is PBE.

a b c (Å): 3.966 8.713 12.406
angles (deg): 90.00 90.00 103.16
Last column: magnetic moment on the atom in μB.
Element x y z (fractional)
Li1 0.534 0.068 0.966  0.00
Li2 0.466 0.932 0.466  0.00
U1 0.794 0.588 0.505  2.59
U2 0.206 0.412 0.005  2.59
Pa1 0.864 0.729 0.807  1.39
Pa2 0.105 0.210 0.681  1.34
Pa3 0.136 0.271 0.307  1.39
Pa4 0.895 0.790 0.181  1.34
Se1 0.373 0.745 0.000  -0.04
Se2 0.681 0.363 0.842  -0.05
Se3 0.493 0.985 0.778  -0.04
Se4 0.282 0.564 0.670  -0.04
Se5 0.948 0.896 0.576  -0.05
Se6 0.627 0.255 0.500  -0.04
Se7 0.319 0.637 0.342  -0.05
Se8 0.507 0.015 0.278  -0.04
Se9 0.718 0.436 0.170  -0.04
Se10 0.052 0.104 0.076  -0.05

Energy relative to the elements, uncorrected, eV/atom: -1.18
Space-group type: No. 36
Crystal system: orthorhombic
Uncorrected energy, eV/atom: -6.691
N(E_F), states/eV/f.u.: 13.0